Density functional theory data (GGA-PBE) for TbIn2Pd5 after structural relaxation.

Output
**Magnetic moment**: 0.000 μB/f.u.
**SG**: No. 139
**Formation energy from the elements**: -0.6726 eV/atom
**Total DFT energy (no corrections)**: -5.181 eV/atom

```
data_TbIn2Pd5
_space_group_name_H-M_alt 'P 1'
_space_group_IT_number 1
_cell_length_a 8.343
_cell_length_b 8.343
_cell_length_c 8.343
_cell_angle_alpha 150.24
_cell_angle_beta 150.24
_cell_angle_gamma 42.58
loop_
_space_group_symop_operation_xyz
'x,y,z'
loop_
_atom_site_label
_atom_site_type_symbol
_atom_site_fract_x
_atom_site_fract_y
_atom_site_fract_z
_atom_site_occupancy
Tb1 Tb 0.000 0.000 0.000 1
In1 In 0.255 0.255 0.000 1
In2 In 0.745 0.745 0.000 1
Pd1 Pd 0.131 0.631 0.500 1
Pd2 Pd 0.369 0.869 0.500 1
Pd3 Pd 0.500 0.500 0.000 1
Pd4 Pd 0.631 0.131 0.500 1
Pd5 Pd 0.869 0.369 0.500 1
```